Record 1
Compound: LiPrEr2Se4
Source: Alexandria via LeMat-Bulk
Functional: PBE
Structure: relaxed

Results
DOS at the Fermi energy: 2.51 states/eV per cell
Symmetry: P2/m
Raw formation energy: -166.9 kJ/mol of atoms
Electronic total energy: -43.60 eV for the cell shown

a = 4.069 Å, b = 7.099 Å, c = 7.126 Å
α = 109.08°, β = 90.00°, γ = 90.00°
Atoms (fractional coordinates):
Li: 0.500 0.500 0.000
Pr: 0.000 0.000 0.000
Er: 0.500 0.000 0.500
Er: 0.000 0.500 0.500
Se: 0.500 0.265 0.260
Se: 0.500 0.735 0.740
Se: 0.000 0.257 0.745
Se: 0.000 0.743 0.255

Record 2
Compound: LiPrErSi
Source: Alexandria via LeMat-Bulk
Functional: PBE
Structure: relaxed

Results
DOS at the Fermi energy: 1.89 states/eV per cell
Symmetry: F-43m
Raw formation energy: -32.3 kJ/mol of atoms
Electronic total energy: -18.02 eV for the cell shown

a = 5.059 Å, b = 5.059 Å, c = 5.059 Å
α = 60.00°, β = 60.00°, γ = 60.00°
Atoms (fractional coordinates):
Pr: 0.500 0.500 0.500
Si: 0.750 0.750 0.750
Li: 0.250 0.250 0.250
Er: 0.000 0.000 0.000

Record 3
Compound: Li2PrEr2Si2
Source: Alexandria via LeMat-Bulk
Functional: PBE
Structure: relaxed

Results
DOS at the Fermi energy: 3.55 states/eV per cell
Symmetry: R-3m
Raw formation energy: -38.4 kJ/mol of atoms
Electronic total energy: -31.37 eV for the cell shown

a = 4.495 Å, b = 4.495 Å, c = 9.193 Å
α = 75.85°, β = 75.85°, γ = 60.00°
Atoms (fractional coordinates):
Li: 0.591 0.591 0.226
Li: 0.409 0.409 0.774
Pr: 0.000 0.000 0.000
Er: 0.129 0.129 0.612
Er: 0.871 0.871 0.388
Si: 0.744 0.744 0.769
Si: 0.256 0.256 0.231

Record 4
Compound: Li2PrEr2Sn2
Source: Alexandria via LeMat-Bulk
Functional: PBE
Structure: relaxed

Results
Formation energy: -3.2 eV per formula unit
DOS at the Fermi energy: 4.09 states/eV per cell
Symmetry: R-3m
Electronic total energy: -28.98 eV for the cell shown

a = 4.819 Å, b = 4.819 Å, c = 9.342 Å
α = 75.05°, β = 75.05°, γ = 60.00°
Atoms (fractional coordinates):
Li: 0.587 0.587 0.239
Li: 0.413 0.413 0.761
Pr: 0.000 0.000 0.000
Er: 0.131 0.131 0.608
Er: 0.869 0.869 0.392
Sn: 0.741 0.741 0.776
Sn: 0.259 0.259 0.224

Record 5
Compound: LiTbPrEr
Source: Alexandria via LeMat-Bulk
Functional: PBE
Structure: relaxed

Results
Formation energy: 0.6 eV per formula unit
DOS at the Fermi energy: 4.17 states/eV per cell
Symmetry: F-43m
Electronic total energy: -15.24 eV for the cell shown

a = 5.540 Å, b = 5.540 Å, c = 5.540 Å
α = 60.00°, β = 60.00°, γ = 60.00°
Atoms (fractional coordinates):
Pr: 0.250 0.250 0.250
Li: 0.000 0.000 0.000
Tb: 0.750 0.750 0.750
Er: 0.500 0.500 0.500

Record 6
Compound: LiPrErTc
Source: Alexandria via LeMat-Bulk
Functional: PBE
Structure: relaxed

Results
Formation energy: 0.1 eV per formula unit
DOS at the Fermi energy: 3.93 states/eV per cell
Symmetry: F-43m
Electronic total energy: -21.49 eV for the cell shown

a = 5.002 Å, b = 5.002 Å, c = 5.002 Å
α = 60.00°, β = 60.00°, γ = 60.00°
Atoms (fractional coordinates):
Pr: 0.250 0.250 0.250
Li: 0.000 0.000 0.000
Tc: 0.500 0.500 0.500
Er: 0.750 0.750 0.750

Record 7
Compound: LiPr3Er3Te8
Source: Alexandria via LeMat-Bulk
Functional: PBE
Structure: relaxed

Results
DOS at the Fermi energy: 4.76 states/eV per cell
Symmetry: R-3m
Raw formation energy: -130.1 kJ/mol of atoms
Electronic total energy: -75.30 eV for the cell shown

a = 8.779 Å, b = 8.779 Å, c = 8.848 Å
α = 119.74°, β = 90.00°, γ = 120.00°
Atoms (fractional coordinates):
Li: 0.000 0.000 0.500
Pr: 0.000 0.000 0.000
Pr: 0.000 0.500 0.000
Pr: 0.500 0.500 0.000
Er: 0.500 0.000 0.500
Er: 0.500 0.500 0.500
Er: 0.000 0.500 0.500
Te: 0.255 0.510 0.265
Te: 0.745 0.490 0.735
Te: 0.752 0.504 0.263
Te: 0.248 0.496 0.737
Te: 0.752 0.011 0.263
Te: 0.248 0.989 0.737
Te: 0.259 0.011 0.263
Te: 0.741 0.989 0.737

Record 8
Compound: LiPrErTe3
Source: Alexandria via LeMat-Bulk
Functional: PBE
Structure: relaxed

Results
DOS at the Fermi energy: 5.88 states/eV per cell
Symmetry: P2_1/m
Raw formation energy: -123.1 kJ/mol of atoms
Electronic total energy: -56.67 eV for the cell shown

a = 4.289 Å, b = 8.975 Å, c = 9.546 Å
α = 103.77°, β = 90.00°, γ = 90.00°
Atoms (fractional coordinates):
Li: 0.250 0.084 0.586
Li: 0.750 0.916 0.414
Pr: 0.250 0.191 0.235
Pr: 0.750 0.809 0.765
Er: 0.250 0.671 0.160
Er: 0.750 0.329 0.840
Te: 0.750 0.906 0.125
Te: 0.250 0.094 0.875
Te: 0.250 0.765 0.495
Te: 0.750 0.235 0.505
Te: 0.750 0.435 0.172
Te: 0.250 0.565 0.828